Entry 1:
# Co3ReIr12 | Alexandria via LeMat-Bulk | PBE-GGA | relaxed
# - energy of formation from the pure elements (kJ/mol of atoms) = -1.6
# - DFT total energy (eV per cell) = -140.36
data_Co3ReIr12
_chemical_formula_sum 'Co3 Re1 Ir12'
_cell_length_a 3.820
_cell_length_b 3.820
_cell_length_c 15.305
_cell_angle_alpha 90.00
_cell_angle_beta 90.00
_cell_angle_gamma 90.00
_symmetry_space_group_name_H-M 'P 4/m m m'
_symmetry_Int_Tables_number 123
_symmetry_space_group_name_Hall '-P 4 2'
loop_
_atom_site_label
_atom_site_fract_x
_atom_site_fract_y
_atom_site_fract_z
Co1 0.000 0.000 0.000
Co2 0.000 0.000 0.242
Re1 0.000 0.000 0.500
Ir1 0.000 0.500 0.124
Ir2 0.000 0.500 0.374
Ir3 0.500 0.500 0.000
Ir4 0.500 0.500 0.249
Ir5 0.500 0.500 0.500

=====

Entry 2:
# LiNpTeAu | Alexandria via LeMat-Bulk | PBE-GGA | relaxed
# - DFT total energy (eV per cell) = -91.61
data_LiNpTeAu
_chemical_formula_sum 'Li4 Np4 Te4 Au4'
_cell_length_a 7.195
_cell_length_b 7.195
_cell_length_c 7.195
_cell_angle_alpha 90.00
_cell_angle_beta 90.00
_cell_angle_gamma 90.00
_symmetry_space_group_name_H-M 'F -4 3 m'
_symmetry_Int_Tables_number 216
_symmetry_space_group_name_Hall 'F -4 2 3'
loop_
_atom_site_label
_atom_site_fract_x
_atom_site_fract_y
_atom_site_fract_z
Li1 0.000 0.000 0.000
Np1 0.000 0.000 0.500
Te1 0.250 0.250 0.250
Au1 0.250 0.250 0.750

=====

Entry 3:
# ZnSi2Br | Alexandria via LeMat-Bulk | PBE-GGA | relaxed
# - DFT total energy (eV per cell) = -23.91
data_ZnSi2Br
_chemical_formula_sum 'Zn2 Si4 Br2'
_cell_length_a 3.590
_cell_length_b 3.590
_cell_length_c 14.655
_cell_angle_alpha 90.00
_cell_angle_beta 90.00
_cell_angle_gamma 90.00
_symmetry_space_group_name_H-M 'I 4/m m m'
_symmetry_Int_Tables_number 139
_symmetry_space_group_name_Hall '-I 4 2'
loop_
_atom_site_label
_atom_site_fract_x
_atom_site_fract_y
_atom_site_fract_z
Zn1 0.000 0.000 0.000
Si1 0.000 0.500 0.250
Br1 0.000 0.000 0.500

=====

Entry 4:
# SmP2 | Alexandria via LeMat-Bulk | PBE-GGA | relaxed
# - energy of formation from the pure elements (kJ/mol of atoms) = -78.4
# - DFT total energy (eV per cell) = -35.95
data_SmP2
_chemical_formula_sum 'Sm2 P4'
_cell_length_a 5.570
_cell_length_b 5.565
_cell_length_c 4.428
_cell_angle_alpha 90.00
_cell_angle_beta 113.52
_cell_angle_gamma 90.00
_symmetry_space_group_name_H-M 'C 1 2/m 1'
_symmetry_Int_Tables_number 12
loop_
_symmetry_equiv_pos_as_xyz
'x,y,z'
'-x,-y,-z'
'-x,y,-z'
'x,-y,z'
'x+1/2,y+1/2,z'
'-x+1/2,-y+1/2,-z'
'-x+1/2,y+1/2,-z'
'x+1/2,-y+1/2,z'
loop_
_atom_site_label
_atom_site_fract_x
_atom_site_fract_y
_atom_site_fract_z
Sm1 0.000 0.000 0.000
P1 0.074 0.500 0.284

=====

Number 1: magnetic moment 1.84 μB/f.u.. Number 2: magnetic moment 4.93 μB/f.u.. Number 3: magnetic moment 0.00 μB/f.u.. Number 4: magnetic moment 0.00 μB/f.u..